No. 1
Material: Zr2TiAgO
Method: DFT, GGA-PBE
State: optimized geometry

Summary:
- energy above the lowest structure with this stoichiometry (meV per atom) = 0
- SG = No. 123
- formation energy without anion corrections (meV per atom) = -1048.3

Structure (POSCAR):
```
Zr2TiAgO
1.0
-0.0990 1.3906 -4.3210
-4.5362 0.1289 0.1454
0.1499 3.8719 1.2426
O Zr Ag Ti
1 2 1 1
Cartesian
0.0000 0.0000 0.0000
-2.2681 0.0645 0.0727
-0.0495 0.6953 -2.1605
-2.2427 2.6957 -1.4665
0.0749 1.9360 0.6213
```

=====

No. 2
Material: NpNiP
Method: DFT, GGA-PBE
State: optimized geometry

Summary:
- SG = No. 107
- calculated formation energy (meV/atom) = -158

Structure (POSCAR):
```
NpNiP
1.0
3.7017 0.0000 0.0000
0.0000 3.7017 0.0000
-1.8509 -1.8509 3.8435
Np Ni P
1 1 1
Cartesian
0.0000 0.0000 2.2103
1.8509 1.8509 1.0005
1.8509 1.8509 3.3232
```

=====

| no. | density (g/cm³) | magnetization (μB/atom) |
| --- | --- | --- |
| 1 | 7.01 | 0.09 |
| 2 | 10.30 | 1.14 |